[1]
Computed, not measured: CsRbLiTl2 after structural relaxation at the GGA-PBE level of DFT.

Values from the calculation:
Its uncorrected energy is -1.636 eV per atom. As for the density of states at the Fermi level: 5.3 states/eV/cell. As for the symmetry: No. 123.

Lattice parameters (Å, degrees): 5.6336 5.6336 6.4352 90.00 90.00 90.00
Atoms (fractional coordinates):
Cs 0.5000 0.5000 0.5000
Tl 0.0000 0.5000 0.0000
Tl 0.5000 0.0000 0.0000
Rb 0.0000 0.0000 0.5000
Li 0.0000 0.0000 0.0000

[2]
Computed, not measured: CsRbLiZn after structural relaxation at the GGA-PBE level of DFT.

Values from the calculation:
Its uncorrected energy is -1.107 eV per atom. As for the density of states at the Fermi level: 6.3 states/eV/cell. As for the symmetry: No. 38.

Lattice parameters (Å, degrees): 5.1634 5.7268 13.7693 90.00 90.00 90.00
Atoms (fractional coordinates):
Cs 0.0000 0.0000 0.3979
Cs 0.0000 0.5000 0.8979
Rb 0.5000 0.0000 0.1000
Rb 0.5000 0.5000 0.6000
Li 0.5000 0.0000 0.7749
Li 0.5000 0.5000 0.2749
Zn 0.0000 0.0000 0.6993
Zn 0.0000 0.5000 0.1993

[3]
Computed, not measured: CsRbLiZn after structural relaxation at the GGA-PBE level of DFT.

Values from the calculation:
Its uncorrected energy is -1.032 eV per atom. As for the density of states at the Fermi level: 3.5 states/eV/cell. As for the symmetry: No. 6.

Lattice parameters (Å, degrees): 5.7812 4.6119 8.5852 90.00 109.77 90.00
Atoms (fractional coordinates):
Cs 0.1580 0.0000 0.1916
Zn 0.6292 0.5000 0.1330
Rb 0.4331 0.0000 0.7449
Li 0.8001 0.5000 0.4783

[4]
Computed, not measured: CsRbLiZn after structural relaxation at the GGA-PBE level of DFT.

Values from the calculation:
Its uncorrected energy is -1.031 eV per atom. As for the density of states at the Fermi level: 3.4 states/eV/cell. As for the symmetry: No. 99.

Lattice parameters (Å, degrees): 4.8803 4.8803 8.6769 90.00 90.00 90.00
Atoms (fractional coordinates):
Cs 0.5000 0.5000 0.4084
Rb 0.5000 0.5000 0.8858
Li 0.0000 0.0000 0.0775
Zn 0.0000 0.0000 0.7276

[5]
Computed, not measured: CsRbLiZn after structural relaxation at the GGA-PBE level of DFT.

Values from the calculation:
Its uncorrected energy is -1.141 eV per atom. As for the density of states at the Fermi level: 2.8 states/eV/cell. As for the symmetry: No. 1.

Lattice parameters (Å, degrees): 4.9992 5.0018 10.1908 76.08 89.73 60.04
Atoms (fractional coordinates):
Cs 0.2683 0.7661 0.8407
Rb 0.4360 0.4198 0.3770
Li 0.0228 0.2518 0.1211
Zn 0.6874 0.9211 0.1168

[6]
Computed, not measured: CsRbLiZn after structural relaxation at the GGA-PBE level of DFT.

Values from the calculation:
Its uncorrected energy is -1.108 eV per atom. As for the density of states at the Fermi level: 3.1 states/eV/cell. As for the symmetry: No. 1.

Lattice parameters (Å, degrees): 5.1208 5.6429 7.5860 68.24 89.79 89.80
Atoms (fractional coordinates):
Cs 0.9298 0.3859 0.5572
Rb 0.4286 0.6787 0.9713
Li 0.9286 0.0747 0.1801
Zn 0.4282 0.9905 0.3470

Question: Which formula does entry 1 have?
Answer: CsRbLiTl2

Question: uncorrected energy of number 6 (CsRbLiZn)?
Answer: -1.108 eV per atom

Question: Among the records above, which one has the lowest uncorrected energy?
Answer: CsRbLiTl2

Question: Which formula does entry 6 have?
Answer: CsRbLiZn